Record 1
First-principles (PBE) data for an optimized crystal structure of CsPm, as listed in OQMD via LeMat-Bulk.

Summary:
Its volume is 53.31 Å³/atom. The value obtained for the electronic total energy is -1.48 eV/atom. The mass density is 4.3 g cm⁻³.

a b c (Å): 7.527 7.527 7.527
angles (deg): 90.00 90.00 90.00
Space group Fm-3m (No. 225)
Unique sites:
Cs: 0.000 0.000 0.000
Pm: 0.000 0.000 0.500

***

Record 2
First-principles (PBE) data for an optimized crystal structure of CsPm, as listed in OQMD via LeMat-Bulk.

Summary:
Its volume is 84.03 Å³/atom. The value obtained for the electronic total energy is -0.99 eV/atom. The mass density is 2.7 g cm⁻³.

a b c (Å): 8.760 8.760 8.760
angles (deg): 90.00 90.00 90.00
Space group F-43m (No. 216)
Unique sites:
Cs: 0.000 0.000 0.000
Pm: 0.250 0.250 0.750

***

Record 3
First-principles (PBE) data for an optimized crystal structure of CsPm, as listed in OQMD via LeMat-Bulk.

Summary:
Its volume is 48.84 Å³/atom. The value obtained for the electronic total energy is -2.16 eV/atom. The mass density is 4.7 g cm⁻³.

a b c (Å): 3.8603 3.8603 7.5696
angles (deg): 90.00 90.00 120.00
Space group P-6m2 (No. 187)
Unique sites:
Cs: 0.0000 0.0000 0.0000
Pm: 0.6667 0.3333 0.5000

***

Record 4
First-principles (PBE) data for an optimized crystal structure of CsPmPr, as listed in OQMD via LeMat-Bulk.

Summary:
Its volume is 55.41 Å³/atom. Its offset from the most stable computed form is 0.0 kJ/mol of formula units. The value obtained for the electronic total energy is -2.30 eV/atom. The mass density is 4.2 g cm⁻³.

a b c (Å): 8.728 8.728 8.728
angles (deg): 90.00 90.00 90.00
Space group F-43m (No. 216)
Unique sites:
Cs: 0.000 0.000 0.000
Pm: 0.000 0.000 0.500
Pr: 0.250 0.250 0.250

***

Record 5
First-principles (PBE) data for an optimized crystal structure of CsPmPt, as listed in OQMD via LeMat-Bulk.

Summary:
Its volume is 33.47 Å³/atom. Its offset from the most stable computed form is 0.0 kJ/mol of formula units. The value obtained for the electronic total energy is -3.83 eV/atom. The mass density is 7.8 g cm⁻³.

a b c (Å): 7.378 7.378 7.378
angles (deg): 90.00 90.00 90.00
Space group F-43m (No. 216)
Unique sites:
Cs: 0.000 0.000 0.000
Pm: 0.000 0.000 0.500
Pt: 0.250 0.250 0.250

***

Record 6
First-principles (PBE) data for an optimized crystal structure of CsPmPt, as listed in OQMD via LeMat-Bulk.

Summary:
Its volume is 29.91 Å³/atom. Its offset from the most stable computed form is 180.3 kJ/mol of formula units. The value obtained for the electronic total energy is -3.20 eV/atom. The mass density is 8.8 g cm⁻³.

a b c (Å): 7.107 7.107 7.107
angles (deg): 90.00 90.00 90.00
Space group F-43m (No. 216)
Unique sites:
Cs: 0.000 0.000 0.000
Pm: 0.250 0.250 0.250
Pt: 0.250 0.250 0.750

***

Record 7
First-principles (PBE) data for an optimized crystal structure of CsPmRe, as listed in OQMD via LeMat-Bulk.

Summary:
Its volume is 30.39 Å³/atom. The value obtained for the electronic total energy is -3.77 eV/atom. The mass density is 8.5 g cm⁻³.

a b c (Å): 7.145 7.145 7.145
angles (deg): 90.00 90.00 90.00
Space group F-43m (No. 216)
Unique sites:
Cs: 0.000 0.000 0.000
Pm: 0.250 0.250 0.750
Re: 0.250 0.250 0.250

***

Record 8
First-principles (PBE) data for an optimized crystal structure of CsPmSb, as listed in OQMD via LeMat-Bulk.

Summary:
Its volume is 39.04 Å³/atom. The value obtained for the electronic total energy is -3.28 eV/atom. The mass density is 5.7 g cm⁻³.

a b c (Å): 7.766 7.766 7.766
angles (deg): 90.00 90.00 90.00
Space group F-43m (No. 216)
Unique sites:
Cs: 0.000 0.000 0.000
Pm: 0.250 0.250 0.250
Sb: 0.000 0.000 0.500

***

Record 9
First-principles (PBE) data for an optimized crystal structure of CsPmTc, as listed in OQMD via LeMat-Bulk.

Summary:
Its volume is 28.68 Å³/atom. The value obtained for the electronic total energy is -3.38 eV/atom. The mass density is 7.3 g cm⁻³.

a b c (Å): 7.008 7.008 7.008
angles (deg): 90.00 90.00 90.00
Space group F-43m (No. 216)
Unique sites:
Cs: 0.000 0.000 0.000
Pm: 0.250 0.250 0.750
Tc: 0.250 0.250 0.250

***

Record 10
First-principles (PBE) data for an optimized crystal structure of CsPmTe, as listed in OQMD via LeMat-Bulk.

Summary:
Its volume is 43.56 Å³/atom. The value obtained for the electronic total energy is -3.14 eV/atom. The mass density is 5.2 g cm⁻³.

a b c (Å): 8.055 8.055 8.055
angles (deg): 90.00 90.00 90.00
Space group F-43m (No. 216)
Unique sites:
Cs: 0.000 0.000 0.000
Pm: 0.000 0.000 0.500
Te: 0.250 0.250 0.250

***

Record 11
First-principles (PBE) data for an optimized crystal structure of CsPmTl, as listed in OQMD via LeMat-Bulk.

Summary:
Its volume is 46.18 Å³/atom. Its offset from the most stable computed form is 0.0 kJ/mol of formula units. The value obtained for the electronic total energy is -2.20 eV/atom. The mass density is 5.8 g cm⁻³.

a b c (Å): 8.214 8.214 8.214
angles (deg): 90.00 90.00 90.00
Space group F-43m (No. 216)
Unique sites:
Cs: 0.000 0.000 0.000
Pm: 0.000 0.000 0.500
Tl: 0.250 0.250 0.250

***

Record 12
First-principles (PBE) data for an optimized crystal structure of CsPmTl, as listed in OQMD via LeMat-Bulk.

Summary:
Its volume is 40.50 Å³/atom. Its offset from the most stable computed form is 100.8 kJ/mol of formula units. The value obtained for the electronic total energy is -1.85 eV/atom. The mass density is 6.6 g cm⁻³.

a b c (Å): 7.862 7.862 7.862
angles (deg): 90.00 90.00 90.00
Space group F-43m (No. 216)
Unique sites:
Cs: 0.000 0.000 0.000
Pm: 0.250 0.250 0.250
Tl: 0.250 0.250 0.750